Sn3TeP after structural relaxation, computed with PBE.

Output
Symmetry: Pm-3m, No. 221
Density of states at the Fermi level, states/eV/f.u.: 1.9
Energy above the most stable polymorph in this dataset, meV/atom: 694
Formation energy from raw total energies, meV/atom: 999
DFT total energy, eV per atom: -3.113

Lattice parameters (Å, degrees): 5.802 5.802 5.802 90.00 90.00 90.00
Sites, in units of the cell vectors:
Te: 0.000 0.000 0.000
Sn: 0.000 0.000 0.500
P: 0.500 0.500 0.500
Sn: 0.500 0.000 0.000
Sn: 0.000 0.500 0.000